Entry 1:
First-principles (PBE) data for HfOsAu2 after structural relaxation, as listed in the Alexandria database.

energy relative to the elements: 0.37 eV per formula unit
ρ: 17.97 Mg/m³
calculated volume: 70.5 Å³/cell
N(E_F): 0.87 states/eV/atom
crystal system: cubic
offset from the most stable computed form: 0.000 eV/atom

```
HfOsAu2
1.0
0.0000 3.2784 3.2784
3.2784 0.0000 3.2784
3.2784 3.2784 0.0000
Hf Au Os
1 2 1
direct
0.0000 0.0000 0.0000 Hf
0.7500 0.7500 0.7500 Au
0.2500 0.2500 0.2500 Au
0.5000 0.5000 0.5000 Os
```



Entry 2:
First-principles (PBE) data for HfOsAu3 after structural relaxation, as listed in the Alexandria database.

energy relative to the elements: 6.44 eV per formula unit
ρ: 13.29 Mg/m³
calculated volume: 119.9 Å³/cell
N(E_F): 1.52 states/eV/atom
crystal system: cubic
offset from the most stable computed form: 0.000 eV/atom

```
HfOsAu3
1.0
4.9316 0.0000 0.0000
0.0000 4.9316 0.0000
0.0000 0.0000 4.9316
Au Os Hf
3 1 1
direct
0.0000 0.0000 0.5000 Au
0.5000 0.0000 0.0000 Au
0.0000 0.5000 0.0000 Au
0.0000 0.0000 0.0000 Os
0.5000 0.5000 0.5000 Hf
```



Entry 3:
First-principles (PBE) data for HfOsAu2 after structural relaxation, as listed in the Alexandria database.

energy relative to the elements: 0.64 eV per formula unit
ρ: 16.89 Mg/m³
calculated volume: 150.0 Å³/cell
N(E_F): 0.73 states/eV/atom
crystal system: tetragonal
offset from the most stable computed form: 0.066 eV/atom

```
HfOsAu2
1.0
-2.2038 -2.4439 -2.0279
2.2037 -2.9542 1.1655
-5.9380 -3.9757 7.5604
Au Hf Os
4 2 2
direct
0.1165 0.6250 0.2500 Au
0.6335 0.1250 0.2500 Au
0.3750 0.3665 0.7500 Au
0.8750 0.8835 0.7500 Au
0.5000 0.5000 0.0000 Hf
0.2500 0.7500 0.5000 Hf
0.7500 0.2500 0.5000 Os
0.0000 0.0000 0.0000 Os
```



Entry 4:
First-principles (PBE) data for Hf3OsAu after structural relaxation, as listed in the Alexandria database.

energy relative to the elements: 1.85 eV per formula unit
ρ: 12.38 Mg/m³
calculated volume: 123.7 Å³/cell
N(E_F): 1.64 states/eV/atom
crystal system: cubic
offset from the most stable computed form: 0.000 eV/atom

```
Hf3OsAu
1.0
-2.4559 -0.5258 -4.3038
4.2244 -1.4041 -2.2390
-0.9764 -4.7521 1.1377
Os Hf Au
1 3 1
direct
0.0000 0.0000 0.0000 Os
0.0000 0.5000 0.0000 Hf
0.5000 0.0000 0.0000 Hf
0.0000 0.0000 0.5000 Hf
0.5000 0.5000 0.5000 Au
```



Entry 5:
First-principles (PBE) data for HfOs3Au after structural relaxation, as listed in the Alexandria database.

energy relative to the elements: 12.19 eV per formula unit
ρ: 14.39 Mg/m³
calculated volume: 109.2 Å³/cell
N(E_F): 1.77 states/eV/atom
crystal system: cubic
offset from the most stable computed form: 0.047 eV/atom

```
HfOs3Au
1.0
4.7798 0.0000 0.0000
0.0000 4.7798 0.0000
0.0000 0.0000 4.7798
Os Au Hf
3 1 1
direct
0.0000 0.5000 0.0000 Os
0.5000 0.0000 0.0000 Os
0.0000 0.0000 0.5000 Os
0.0000 0.0000 0.0000 Au
0.5000 0.5000 0.5000 Hf
```



Entry 6:
First-principles (PBE) data for HfOs2PtAu after structural relaxation, as listed in the Alexandria database.

energy relative to the elements: 9.89 eV per formula unit
ρ: 14.18 Mg/m³
calculated volume: 111.4 Å³/cell
N(E_F): 1.13 states/eV/atom
crystal system: tetragonal

```
HfOs2PtAu
1.0
-3.6977 0.6532 2.9796
-1.7722 -4.3344 -1.2491
2.4965 -2.0426 3.5459
Os Hf Pt Au
2 1 1 1
direct
0.0000 0.0000 0.5000 Os
0.5000 0.0000 0.0000 Os
0.5000 0.5000 0.5000 Hf
0.0000 0.5000 0.0000 Pt
0.0000 0.0000 0.0000 Au
```